Model a:
ZnCdIr after structural relaxation, computed with PBE-GGA.

a b c (Å): 7.2937 7.0227 2.8699
angles (deg): 83.79 73.18 23.03
Last column: nearest neighbours and their distance in Å.
Sites, in units of the cell vectors:
Zn: 0.0000 0.0000 0.0000  2 Ir 2.53
Cd: 0.6770 0.6770 0.3230  2 Ir 2.80, 2 Zn 2.84, 6 Cd 2.87-2.95
Ir: 0.3504 0.3504 0.6496  2 Zn 2.53, 2 Cd 2.80

Magnetization, μB/atom: 0.000
Space-group type: Fmm2 (42)

---

Model b:
ZnCdIr after structural relaxation, computed with PBE-GGA.

a b c (Å): 5.4003 5.4003 5.4003
angles (deg): 145.89 145.89 49.01
Last column: nearest neighbours and their distance in Å.
Sites, in units of the cell vectors:
Zn: 0.0000 0.0000 0.0000  4 Ir 2.57
Cd: 0.6892 0.6892 0.0000  5 Ir 2.87-3.12, 5 Zn 2.91-3.05, 4 Cd 3.17
Ir: 0.3719 0.3719 0.0000  4 Zn 2.57, 4 Cd 2.87

Magnetization, μB/atom: 0.000
Space-group type: I4mm (107)

---

Which of them is the most stable? Correct choice: model b.

---

Model a:
ZnCdIr after structural relaxation, computed with PBE-GGA.

a b c (Å): 4.3981 4.3981 2.9752
angles (deg): 90.00 90.00 120.00
Last column: nearest neighbours and their distance in Å.
Sites, in units of the cell vectors:
Zn: 0.0000 0.0000 0.0000  3 Ir 2.54
Cd: 0.3333 0.6667 0.5076  6 Zn 2.93-2.95, 6 Ir 2.94-2.95, 2 Cd 2.98
Ir: 0.6667 0.3333 0.0091  3 Zn 2.54

Magnetization, μB/atom: 0.000
Space-group type: P3m1 (156)

---

Model b:
ZnCdIr after structural relaxation, computed with PBE-GGA.

a b c (Å): 9.2889 9.2889 2.8509
angles (deg): 90.00 90.00 153.50
Last column: nearest neighbours and their distance in Å.
Sites, in units of the cell vectors:
Zn: 0.0757 0.9243 0.7500  4 Ir 2.58, 2 Zn 2.85
Zn: 0.9243 0.0757 0.2500  4 Ir 2.58, 2 Zn 2.85
Cd: 0.3013 0.6987 0.2500  6 Cd 2.85-3.16, 2 Ir 2.87, 2 Zn 3.08
Cd: 0.6987 0.3013 0.7500  6 Cd 2.85-3.16, 2 Ir 2.87, 2 Zn 3.08
Ir: 0.4392 0.5608 0.7500  4 Zn 2.58, 4 Ir 2.62-2.85, 2 Cd 2.87
Ir: 0.5608 0.4392 0.2500  4 Zn 2.58, 4 Ir 2.62-2.85, 2 Cd 2.87

Magnetization, μB/atom: 0.000
Space-group type: Cmcm (63)

---

Model c:
ZnCdIr after structural relaxation, computed with PBE-GGA.

a b c (Å): 4.3686 4.3686 4.3686
angles (deg): 60.00 60.00 60.00
Last column: nearest neighbours and their distance in Å.
Sites, in units of the cell vectors:
Zn: 0.0000 0.0000 0.0000  4 Ir 2.68
Cd: 0.5000 0.5000 0.5000  4 Ir 2.68
Ir: 0.7500 0.7500 0.7500  4 Cd 2.68, 4 Zn 2.68

Magnetization, μB/atom: 0.000
Space-group type: F-43m (216)

---

Which of them is the most stable? Correct choice: model b.

---

Model a:
ZrCd3Ir after structural relaxation, computed with PBE-GGA.

a b c (Å): 5.0617 5.0617 5.0617
angles (deg): 90.00 90.00 90.00
Last column: nearest neighbours and their distance in Å.
Sites, in units of the cell vectors:
Zr: 0.0000 0.0000 0.0000  12 Cd 3.58
Cd: 0.0000 0.5000 0.5000  2 Ir 2.53
Cd: 0.5000 0.0000 0.5000  2 Ir 2.53
Cd: 0.5000 0.5000 0.0000  2 Ir 2.53
Ir: 0.5000 0.5000 0.5000  6 Cd 2.53

Magnetization, μB/atom: 0.060
Space-group type: Pm-3m (221)

---

Model b:
ZrCd3Ir after structural relaxation, computed with PBE-GGA.

a b c (Å): 5.3948 5.3948 5.3948
angles (deg): 90.00 90.00 90.00
Last column: nearest neighbours and their distance in Å.
Sites, in units of the cell vectors:
Zr: 0.0000 0.0000 0.0000  6 Cd 2.70
Cd: 0.0000 0.0000 0.5000  2 Zr 2.70
Cd: 0.0000 0.5000 0.0000  2 Zr 2.70
Cd: 0.5000 0.0000 0.0000  2 Zr 2.70
Ir: 0.5000 0.5000 0.5000  12 Cd 3.81

Magnetization, μB/atom: 0.000
Space-group type: Pm-3m (221)

---

Which of them is the most stable? Correct choice: model a.

---

Model a:
K4Cd5 after structural relaxation, computed with PBE-GGA.

a b c (Å): 10.4977 10.4977 7.1344
angles (deg): 90.00 90.00 120.00
Last column: nearest neighbours and their distance in Å.
Sites, in units of the cell vectors:
K: 0.0000 0.0000 0.0000  2 K 3.57, 6 Cd 3.71
K: 0.0000 0.0000 0.5000  2 K 3.57, 6 Cd 3.71
K: 0.0000 0.3676 0.2500  9 Cd 3.39-3.78
K: 0.0000 0.6324 0.7500  9 Cd 3.39-3.78
K: 0.3676 0.0000 0.2500  9 Cd 3.39-3.78
K: 0.3676 0.3676 0.7500  9 Cd 3.39-3.78
K: 0.6324 0.0000 0.7500  9 Cd 3.39-3.78
K: 0.6324 0.6324 0.2500  9 Cd 3.39-3.78
Cd: 0.0000 0.3094 0.7500  7 K 3.39-3.71
Cd: 0.0000 0.6906 0.2500  7 K 3.39-3.71
Cd: 0.3094 0.0000 0.7500  7 K 3.39-3.71
Cd: 0.3094 0.3094 0.2500  7 K 3.39-3.71
Cd: 0.3333 0.6667 0.0000  2 Cd 3.57, 6 K 3.78
Cd: 0.3333 0.6667 0.5000  2 Cd 3.57, 6 K 3.78
Cd: 0.6667 0.3333 0.0000  2 Cd 3.57, 6 K 3.78
Cd: 0.6667 0.3333 0.5000  2 Cd 3.57, 6 K 3.78
Cd: 0.6906 0.0000 0.2500  7 K 3.39-3.71
Cd: 0.6906 0.6906 0.7500  7 K 3.39-3.71

Magnetization, μB/atom: 0.000
Space-group type: P6_3/mcm (193)

---

Model b:
K4Cd5 after structural relaxation, computed with PBE-GGA.

a b c (Å): 8.4613 8.4613 8.4613
angles (deg): 95.80 95.80 142.93
Last column: nearest neighbours and their distance in Å.
Sites, in units of the cell vectors:
K: 0.0000 0.3033 0.3033  5 Cd 3.44-3.63
K: 0.0000 0.6967 0.6967  5 Cd 3.44-3.63
K: 0.3033 0.0000 0.3033  5 Cd 3.44-3.63
K: 0.6967 0.0000 0.6967  5 Cd 3.44-3.63
Cd: 0.0000 0.0000 0.0000  4 K 3.44, 8 Cd 3.49
Cd: 0.3609 0.3609 0.7219  4 Cd 3.16-3.49
Cd: 0.3609 0.6391 0.0000  4 Cd 3.16-3.49
Cd: 0.6391 0.3609 0.0000  4 Cd 3.16-3.49
Cd: 0.6391 0.6391 0.2781  4 Cd 3.16-3.49

Magnetization, μB/atom: 0.000
Space-group type: I4/mmm (139)

---

Which of them is the most stable? Correct choice: model b.